Computed, not measured: Nd2Sc4Si3O2 after structural relaxation at the GGA-PBE level of DFT.

Cell: 4.293 4.293 23.296 Å, 90.00 90.00 90.00°
Space group I4/mmm (No. 139)
Asymmetric unit:
Nd: 0.000 0.000 0.195 x4
Sc: 0.000 0.500 0.077 x8
Si: 0.000 0.000 0.334 x4
Si: 0.000 0.000 0.500 x2
O: 0.000 0.000 0.085 x4

Computed properties:
DOS(E_F) (states/eV/f.u.): 6.54
Total DFT energy (no corrections) (eV for the cell shown): -156.7

=====

Computed, not measured: Pr3Sm6In after structural relaxation at the GGA-PBE level of DFT.

Cell: 12.509 3.643 14.944 Å, 90.00 94.11 90.00°
Space group P2_1/m (No. 11)
Asymmetric unit:
Pr: 0.053 0.250 0.303 x2
Pr: 0.103 0.250 0.082 x2
Pr: 0.429 0.250 0.818 x2
Sm: 0.112 0.750 0.504 x2
Sm: 0.190 0.750 0.887 x2
Sm: 0.211 0.250 0.681 x2
Sm: 0.307 0.750 0.256 x2
Sm: 0.378 0.250 0.043 x2
Sm: 0.442 0.750 0.605 x2
In: 0.309 0.250 0.445 x2

Computed properties:
DOS(E_F) (states/eV/f.u.): 13.66
Energy of formation from the pure elements (eV/atom): -0.01
Total DFT energy (no corrections) (eV for the cell shown): -91.0

=====

Computed, not measured: CsSrPrO3 after structural relaxation at the GGA-PBE level of DFT.

Cell: 6.439 3.880 10.021 Å, 90.00 101.62 90.00°
Space group P2_1/m (No. 11)
Asymmetric unit:
Cs: 0.143 0.250 0.178 x2
Sr: 0.382 0.250 0.853 x2
Pr: 0.259 0.750 0.534 x2
O: 0.070 0.250 0.620 x2
O: 0.293 0.750 0.964 x2
O: 0.483 0.750 0.376 x2

Computed properties:
DOS(E_F) (states/eV/f.u.): 0.00
Total DFT energy (no corrections) (eV for the cell shown): -74.0

=====

Computed, not measured: HoAlSb2 after structural relaxation at the GGA-PBE level of DFT.

Cell: 4.7909 4.7909 23.8430 Å, 90.00 90.00 120.00°
Space group R-3m (No. 166, hexagonal axes)
Asymmetric unit:
Ho: 0.0000 0.0000 0.0000 x3
Al: 0.0000 0.0000 0.5000 x3
Sb: 0.0000 0.0000 0.3946 x6

Computed properties:
DOS(E_F) (states/eV/f.u.): 0.36
Total DFT energy (no corrections) (eV for the cell shown): -50.3

=====

Computed, not measured: TbEr2SbN4 after structural relaxation at the GGA-PBE level of DFT.

Cell: 6.007 3.466 6.031 Å, 90.00 109.27 90.00°
Space group P2/m (No. 10)
Asymmetric unit:
Tb: 0.000 0.000 0.000 x1
Er: 0.000 0.500 0.500 x1
Er: 0.500 0.000 0.500 x1
Sb: 0.500 0.500 0.000 x1
N: 0.237 0.000 0.734 x2
N: 0.246 0.500 0.260 x2

Computed properties:
DOS(E_F) (states/eV/f.u.): 0.43
Total DFT energy (no corrections) (eV for the cell shown): -59.9

=====

Computed, not measured: SrRuSe2Br after structural relaxation at the GGA-PBE level of DFT.

Cell: 4.964 4.964 5.239 Å, 90.00 90.00 90.00°
Space group P4/mmm (No. 123)
Asymmetric unit:
Sr: 0.000 0.000 0.000 x1
Ru: 0.500 0.500 0.500 x1
Se: 0.000 0.500 0.500 x2
Br: 0.500 0.500 0.000 x1

Computed properties:
DOS(E_F) (states/eV/f.u.): 4.43
Total DFT energy (no corrections) (eV for the cell shown): -22.7

=====

Computed, not measured: Hf3Be2CoRh3 after structural relaxation at the GGA-PBE level of DFT.

Cell: 7.2074 7.2074 2.9781 Å, 90.00 90.00 120.00°
Space group P-62m (No. 189)
Asymmetric unit:
Hf: 0.0000 0.2752 0.0000 x3
Be: 0.3333 0.6667 0.0000 x2
Co: 0.0000 0.0000 0.5000 x1
Rh: 0.0000 0.5990 0.5000 x3

Computed properties:
DOS(E_F) (states/eV/f.u.): 4.59
Energy of formation from the pure elements (eV/atom): -0.49
Total DFT energy (no corrections) (eV for the cell shown): -70.9

=====

Computed, not measured: PuCd4Rh after structural relaxation at the GGA-PBE level of DFT.

Cell: 8.784 4.248 7.223 Å, 90.00 90.00 90.00°
Space group Pmma (No. 51)
Asymmetric unit:
Pu: 0.250 0.000 0.085 x2
Cd: 0.000 0.000 0.500 x2
Cd: 0.044 0.500 0.806 x4
Cd: 0.250 0.500 0.447 x2
Rh: 0.250 0.000 0.729 x2

Computed properties:
DOS(E_F) (states/eV/f.u.): 15.46
Energy of formation from the pure elements (eV/atom): -0.15
Total DFT energy (no corrections) (eV for the cell shown): -52.5